Entry 1:
This record from the Alexandria database describes an optimized crystal structure of Cs2NaTl. The functional is GGA-PBE.

## Properties
energy = -1.23 eV/atom
space-group type = R3m
D(E_F) = 2.45 states/eV/cell

abc: 6.3846 6.3846 8.7982
angles: 68.73 68.73 60.00
Last column: nearest neighbours and their distance in Å.
Fractional coordinates of all 4 atoms:
Cs  0.2687  0.2687  0.1940  3 Tl 3.87, 3 Na 4.27
Na  0.5122  0.5122  0.4635  1 Tl 3.32
Tl  0.6508  0.6508  0.0475  1 Na 3.32
Cs  0.0683  0.0683  0.7950  3 Tl 4.20, 3 Na 4.54



Entry 2:
This record from the Alexandria database describes an optimized crystal structure of Cs2Na12Tl7. The functional is GGA-PBE.

## Properties
energy = -1.68 eV/atom
space-group type = P-6
D(E_F) = 11.18 states/eV/cell

abc: 12.4433 12.4433 5.4807
angles: 90.00 90.00 120.00
Last column: nearest neighbours and their distance in Å.
Fractional coordinates of all 21 atoms:
Tl  0.6804  0.6134  0.5000  6 Na 3.16-3.38
Tl  0.3866  0.0669  0.5000  6 Na 3.16-3.38
Na  0.6647  0.0501  0.5000  4 Tl 3.35-3.74, 5 Na 3.36-3.56
Tl  0.3333  0.6667  0.0000  9 Na 3.15-3.36
Na  0.2781  0.1240  0.0000  4 Tl 3.28-3.36, 2 Na 3.56
Na  0.2256  0.4868  0.5000  5 Tl 3.16-3.36, 3 Na 3.36-3.38
Na  0.3854  0.3353  0.5000  4 Tl 3.35-3.74, 5 Na 3.36-3.56
Na  0.9499  0.6146  0.5000  4 Tl 3.35-3.74, 5 Na 3.36-3.56
Na  0.8459  0.7219  0.0000  4 Tl 3.28-3.36, 2 Na 3.56
Cs  0.0000  0.0000  0.5000  9 Na 4.07-4.52, 9 Tl 4.45-4.50
Cs  0.6667  0.3333  0.0000  12 Na 4.05-4.45, 6 Tl 4.37
Na  0.5132  0.7388  0.5000  5 Tl 3.16-3.36, 3 Na 3.36-3.38
Tl  0.1516  0.8213  0.0000  6 Na 3.24-3.49, 1 Tl 3.63
Tl  0.1787  0.3303  0.0000  6 Na 3.24-3.49, 1 Tl 3.63
Tl  0.6697  0.8484  0.0000  6 Na 3.24-3.49, 1 Tl 3.63
Na  0.4607  0.9578  0.0000  5 Tl 3.15-3.49, 2 Na 3.52
Na  0.8760  0.1541  0.0000  4 Tl 3.28-3.36, 2 Na 3.56
Na  0.4971  0.5393  0.0000  5 Tl 3.15-3.49, 2 Na 3.52
Na  0.2612  0.7744  0.5000  5 Tl 3.16-3.36, 3 Na 3.36-3.38
Tl  0.9331  0.3196  0.5000  6 Na 3.16-3.38
Na  0.0422  0.5029  0.0000  5 Tl 3.15-3.49, 2 Na 3.52



Entry 3:
This record from the Alexandria database describes an optimized crystal structure of CsNa2Tl. The functional is GGA-PBE.

## Properties
energy = -1.41 eV/atom
space-group type = Fm-3m
D(E_F) = 5.29 states/eV/cell

abc: 6.2012 6.2012 6.2012
angles: 60.00 60.00 60.00
Last column: nearest neighbours and their distance in Å.
Fractional coordinates of all 4 atoms:
Cs  0.0000  0.0000  0.0000  8 Na 3.80
Na  0.7500  0.7500  0.7500  4 Tl 3.80, 4 Cs 3.80
Tl  0.5000  0.5000  0.5000  8 Na 3.80
Na  0.2500  0.2500  0.2500  4 Tl 3.80, 4 Cs 3.80



Entry 4:
This record from the Alexandria database describes an optimized crystal structure of Cs3Na8Tl3. The functional is GGA-PBE.

## Properties
energy = -1.45 eV/atom
space-group type = Immm
D(E_F) = 9.76 states/eV/cell

abc: 5.8265 11.0180 11.0180
angles: 72.33 74.67 74.67
Last column: nearest neighbours and their distance in Å.
Fractional coordinates of all 14 atoms:
Tl  0.0000  0.2239  0.7761  6 Na 3.35-3.41
Na  0.6044  0.1066  0.6845  3 Tl 3.26-3.41, 3 Na 3.51-3.58
Tl  0.0000  0.7761  0.2239  6 Na 3.35-3.41
Cs  0.1716  0.8284  0.8284  4 Tl 4.10, 10 Na 4.16-4.41
Na  0.3956  0.3155  0.8934  3 Tl 3.26-3.41, 3 Na 3.51-3.58
Tl  0.5000  0.0000  0.0000  4 Na 3.26
Na  0.3956  0.8934  0.3155  3 Tl 3.26-3.41, 3 Na 3.51-3.58
Na  0.6044  0.6845  0.1066  3 Tl 3.26-3.41, 3 Na 3.51-3.58
Na  0.1785  0.1606  0.4824  1 Tl 3.35, 3 Na 3.58-3.71
Cs  0.5000  0.5000  0.5000  4 Na 4.15, 4 Tl 4.62
Na  0.8215  0.5176  0.8394  1 Tl 3.35, 3 Na 3.58-3.71
Cs  0.8284  0.1716  0.1716  4 Tl 4.10, 10 Na 4.16-4.41
Na  0.1785  0.4824  0.1606  1 Tl 3.35, 3 Na 3.58-3.71
Na  0.8215  0.8394  0.5176  1 Tl 3.35, 3 Na 3.58-3.71



Entry 5:
This record from the Alexandria database describes an optimized crystal structure of CsNa8Tl2. The functional is GGA-PBE.

## Properties
energy = -1.39 eV/atom
space-group type = C2/m
D(E_F) = 5.44 states/eV/cell

abc: 7.4570 7.4570 12.0534
angles: 107.83 107.83 90.16
Last column: nearest neighbours and their distance in Å.
Fractional coordinates of all 11 atoms:
Na  0.9175  0.4172  0.3341  2 Tl 3.19
Na  0.9174  0.9174  0.3341  2 Tl 3.19
Na  0.4172  0.9174  0.3341  2 Tl 3.19
Tl  0.7505  0.2495  0.5000  8 Na 3.19-3.20
Cs  0.4998  0.5001  0.0001  8 Na 4.49
Na  0.0826  0.0826  0.6659  2 Tl 3.19
Na  0.5830  0.5830  0.6650  2 Tl 3.20
Na  0.0826  0.5828  0.6659  2 Tl 3.19
Tl  0.2495  0.7505  0.5000  8 Na 3.19-3.20
Na  0.5828  0.0825  0.6659  2 Tl 3.19
Na  0.4170  0.4170  0.3350  2 Tl 3.20



Entry 6:
This record from the Alexandria database describes an optimized crystal structure of CsNa2Tl10. The functional is GGA-PBE.

## Properties
energy = -2.14 eV/atom
space-group type = Fmmm
D(E_F) = 8.13 states/eV/cell

abc: 6.6136 8.5625 8.7579
angles: 81.62 67.82 67.28
Last column: nearest neighbours and their distance in Å.
Fractional coordinates of all 13 atoms:
Na  0.5000  0.5000  0.0000  8 Tl 3.28-3.51, 2 Na 3.31
Tl  0.9985  0.3599  0.6431  5 Tl 3.21-3.55, 2 Na 3.51
Tl  0.2748  0.2254  0.2249  2 Na 3.28, 8 Tl 3.30-3.65
Na  0.0000  0.5000  0.0000  8 Tl 3.28-3.51, 2 Na 3.31
Tl  0.3584  0.6401  0.6431  5 Tl 3.21-3.55, 2 Na 3.51
Cs  0.0000  0.0000  0.0000  16 Tl 4.06-4.38, 4 Na 4.28
Tl  0.5000  0.0000  0.5000  10 Tl 3.30-3.49
Tl  0.0015  0.6401  0.3569  5 Tl 3.21-3.55, 2 Na 3.51
Tl  0.6416  0.3599  0.3569  5 Tl 3.21-3.55, 2 Na 3.51
Tl  0.0000  0.0000  0.5000  10 Tl 3.30-3.49
Tl  0.5003  0.7746  0.2249  2 Na 3.28, 8 Tl 3.30-3.65
Tl  0.7252  0.7746  0.7751  2 Na 3.28, 8 Tl 3.30-3.65
Tl  0.4997  0.2254  0.7751  2 Na 3.28, 8 Tl 3.30-3.65



Entry 7:
This record from the Alexandria database describes an optimized crystal structure of CsNa3Tl. The functional is GGA-PBE.

## Properties
energy = -1.46 eV/atom
space-group type = Cmcm
D(E_F) = 4.75 states/eV/cell

abc: 6.8389 7.9187 8.9455
angles: 116.27 90.00 90.00
Last column: nearest neighbours and their distance in Å.
Fractional coordinates of all 10 atoms:
Na  0.7500  0.0661  0.7006  2 Tl 3.41, 2 Na 3.42-3.56
Na  0.7500  0.6345  0.7006  2 Tl 3.41, 2 Na 3.42-3.56
Cs  0.2500  0.4081  0.8162  10 Na 4.19-4.48, 2 Cs 4.51, 4 Tl 4.56
Na  0.7500  0.1782  0.3564  2 Tl 3.33, 2 Na 3.56
Tl  0.5000  0.0000  0.0000  6 Na 3.33-3.41, 2 Tl 3.42
Na  0.2500  0.3655  0.2994  2 Tl 3.41, 2 Na 3.42-3.56
Cs  0.7500  0.5919  0.1838  10 Na 4.19-4.48, 2 Cs 4.51, 4 Tl 4.56
Na  0.2500  0.9339  0.2994  2 Tl 3.41, 2 Na 3.42-3.56
Na  0.2500  0.8218  0.6436  2 Tl 3.33, 2 Na 3.56
Tl  0.0000  0.0000  0.0000  6 Na 3.33-3.41, 2 Tl 3.42



Entry 8:
This record from the Alexandria database describes an optimized crystal structure of Cs2NaTl. The functional is GGA-PBE.

## Properties
energy = -1.30 eV/atom
space-group type = P4/mmm
D(E_F) = 3.33 states/eV/cell

abc: 4.8903 4.8903 9.6029
angles: 90.00 90.00 90.00
Last column: nearest neighbours and their distance in Å.
Fractional coordinates of all 4 atoms:
Cs  0.0000  0.0000  0.2277  4 Tl 4.09, 4 Na 4.34, 1 Cs 4.37
Cs  0.0000  0.0000  0.7723  4 Tl 4.09, 4 Na 4.34, 1 Cs 4.37
Na  0.5000  0.5000  0.5000  8 Cs 4.34, 2 Tl 4.80
Tl  0.5000  0.5000  0.0000  8 Cs 4.09



Entry 9:
This record from the Alexandria database describes an optimized crystal structure of Cs6Na4Tl13. The functional is GGA-PBE.

## Properties
energy = -1.94 eV/atom
space-group type = Im-3
D(E_F) = 17.92 states/eV/cell

abc: 10.4611 10.4611 10.4611
angles: 109.47 109.47 109.47
Last column: nearest neighbours and their distance in Å.
Fractional coordinates of all 23 atoms:
Tl  0.8601  0.2346  0.0947  6 Tl 3.30-3.49, 2 Na 3.31
Cs  0.5000  0.8283  0.3283  6 Tl 3.93-4.18, 1 Cs 4.15, 4 Na 4.37
Cs  0.3283  0.5000  0.8283  6 Tl 3.93-4.18, 1 Cs 4.15, 4 Na 4.37
Tl  0.2346  0.0947  0.8601  6 Tl 3.30-3.49, 2 Na 3.31
Tl  0.0000  0.0000  0.0000  12 Tl 3.30
Tl  0.2346  0.3744  0.1399  6 Tl 3.30-3.49, 2 Na 3.31
Na  0.0000  0.5000  0.0000  6 Tl 3.31
Tl  0.8601  0.7654  0.6256  6 Tl 3.30-3.49, 2 Na 3.31
Na  0.0000  0.0000  0.5000  6 Tl 3.31
Tl  0.9053  0.1399  0.7654  6 Tl 3.30-3.49, 2 Na 3.31
Tl  0.0947  0.8601  0.2346  6 Tl 3.30-3.49, 2 Na 3.31
Cs  0.6717  0.5000  0.1717  6 Tl 3.93-4.18, 1 Cs 4.15, 4 Na 4.37
Cs  0.1717  0.6717  0.5000  6 Tl 3.93-4.18, 1 Cs 4.15, 4 Na 4.37
Na  0.5000  0.0000  0.0000  6 Tl 3.31
Tl  0.7654  0.9053  0.1399  6 Tl 3.30-3.49, 2 Na 3.31
Tl  0.1399  0.2346  0.3744  6 Tl 3.30-3.49, 2 Na 3.31
Tl  0.3744  0.1399  0.2346  6 Tl 3.30-3.49, 2 Na 3.31
Tl  0.6256  0.8601  0.7654  6 Tl 3.30-3.49, 2 Na 3.31
Tl  0.7654  0.6256  0.8601  6 Tl 3.30-3.49, 2 Na 3.31
Tl  0.1399  0.7654  0.9053  6 Tl 3.30-3.49, 2 Na 3.31
Cs  0.8283  0.3283  0.5000  6 Tl 3.93-4.18, 1 Cs 4.15, 4 Na 4.37
Cs  0.5000  0.1717  0.6717  6 Tl 3.93-4.18, 1 Cs 4.15, 4 Na 4.37
Na  0.5000  0.5000  0.5000  6 Tl 3.31



Repeat the fourth record exactly.
This record from the Alexandria database describes an optimized crystal structure of Cs3Na8Tl3. The functional is GGA-PBE.

## Properties
energy = -1.45 eV/atom
space-group type = Immm
D(E_F) = 9.76 states/eV/cell

abc: 5.8265 11.0180 11.0180
angles: 72.33 74.67 74.67
Last column: nearest neighbours and their distance in Å.
Fractional coordinates of all 14 atoms:
Tl  0.0000  0.2239  0.7761  6 Na 3.35-3.41
Na  0.6044  0.1066  0.6845  3 Tl 3.26-3.41, 3 Na 3.51-3.58
Tl  0.0000  0.7761  0.2239  6 Na 3.35-3.41
Cs  0.1716  0.8284  0.8284  4 Tl 4.10, 10 Na 4.16-4.41
Na  0.3956  0.3155  0.8934  3 Tl 3.26-3.41, 3 Na 3.51-3.58
Tl  0.5000  0.0000  0.0000  4 Na 3.26
Na  0.3956  0.8934  0.3155  3 Tl 3.26-3.41, 3 Na 3.51-3.58
Na  0.6044  0.6845  0.1066  3 Tl 3.26-3.41, 3 Na 3.51-3.58
Na  0.1785  0.1606  0.4824  1 Tl 3.35, 3 Na 3.58-3.71
Cs  0.5000  0.5000  0.5000  4 Na 4.15, 4 Tl 4.62
Na  0.8215  0.5176  0.8394  1 Tl 3.35, 3 Na 3.58-3.71
Cs  0.8284  0.1716  0.1716  4 Tl 4.10, 10 Na 4.16-4.41
Na  0.1785  0.4824  0.1606  1 Tl 3.35, 3 Na 3.58-3.71
Na  0.8215  0.8394  0.5176  1 Tl 3.35, 3 Na 3.58-3.71



Repeat the third record exactly.
This record from the Alexandria database describes an optimized crystal structure of CsNa2Tl. The functional is GGA-PBE.

## Properties
energy = -1.41 eV/atom
space-group type = Fm-3m
D(E_F) = 5.29 states/eV/cell

abc: 6.2012 6.2012 6.2012
angles: 60.00 60.00 60.00
Last column: nearest neighbours and their distance in Å.
Fractional coordinates of all 4 atoms:
Cs  0.0000  0.0000  0.0000  8 Na 3.80
Na  0.7500  0.7500  0.7500  4 Tl 3.80, 4 Cs 3.80
Tl  0.5000  0.5000  0.5000  8 Na 3.80
Na  0.2500  0.2500  0.2500  4 Tl 3.80, 4 Cs 3.80



- What is the energy in the second record?
  -1.68 eV/atom